This record from Alexandria via LeMat-Bulk describes TiIn2Ni7P2 after structural relaxation. The functional is PBE-GGA.

For the formation energy, the calculation gives -0.2892 eV/atom. The value obtained for the total moment is 0.00 Bohr magnetons per cell. The density of states at the Fermi level comes out at 13.23 states/eV per cell.

The structure belongs to space group C2/m (No. 12); the cell edges are 5.238, 5.197 and 12.538 Å and the angles 90.00°, 99.85° and 90.00°. The inequivalent atoms are Ti at (0.000, 0.000, 0.000), In at (0.110, 0.000, 0.376), Ni at (0.000, 0.500, 0.000), Ni at (0.127, 0.500, 0.423), Ni at (0.191, 0.248, 0.856) and P at (0.096, 0.500, 0.247).

---

This record from Alexandria via LeMat-Bulk describes BaLaN2 after structural relaxation. The functional is PBE-GGA.

The uncorrected formation energy comes out at -109 meV per atom. The value obtained for the total moment is 4.00 Bohr magnetons per cell. The density of states at the Fermi level comes out at 20.32 states/eV per cell.

The structure belongs to space group Fm-3m (No. 225); the cell edges are 6.611, 6.611 and 6.611 Å and the angles 90.00°, 90.00° and 90.00°. The inequivalent atoms are Ba at (0.000, 0.000, 0.000), La at (0.000, 0.000, 0.500) and N at (0.250, 0.250, 0.250).

---

This record from Alexandria via LeMat-Bulk describes CrSiN2 after structural relaxation. The functional is PBE-GGA.

The uncorrected formation energy comes out at -567 meV per atom. The value obtained for the total moment is 11.15 Bohr magnetons per cell. The density of states at the Fermi level comes out at 8.02 states/eV per cell.

The structure belongs to space group I-42d (No. 122); the cell edges are 4.450, 4.450 and 8.290 Å and the angles 90.00°, 90.00° and 90.00°. The inequivalent atoms are Cr at (0.000, 0.000, 0.000), Si at (0.000, 0.000, 0.500) and N at (0.199, 0.250, 0.625).

---

This record from Alexandria via LeMat-Bulk describes TmMgCo after structural relaxation. The functional is PBE-GGA.

For the formation energy, the calculation gives -0.0619 eV/atom. The value obtained for the total moment is 0.62 Bohr magnetons per cell. The density of states at the Fermi level comes out at 3.74 states/eV per cell.

The structure belongs to space group I4mm (No. 107); the cell edges are 3.241, 3.241 and 11.199 Å and the angles 90.00°, 90.00° and 90.00°. The inequivalent atoms are Tm at (0.000, 0.000, 0.000), Mg at (0.000, 0.000, 0.730) and Co at (0.000, 0.000, 0.364).

---

This record from Alexandria via LeMat-Bulk describes Pm3Nd3Ag2 after structural relaxation. The functional is PBE-GGA.

For the formation energy, the calculation gives -0.0566 eV/atom. The value obtained for the total moment is 0.00 Bohr magnetons per cell. The density of states at the Fermi level comes out at 37.18 states/eV per cell.

The structure belongs to space group Cmcm (No. 63); the cell edges are 5.220, 11.799 and 16.096 Å and the angles 90.00°, 90.00° and 90.00°. The inequivalent atoms are Pm at (0.000, 0.077, 0.250), Pm at (0.000, 0.143, 0.530), Nd at (0.000, 0.203, 0.750), Nd at (0.000, 0.458, 0.609) and Ag at (0.000, 0.274, 0.128).

---

This record from Alexandria via LeMat-Bulk describes K2Na5Pb after structural relaxation. The functional is PBE-GGA.

For the formation energy, the calculation gives 0.0749 eV/atom. The distance to the lowest polymorph of the same formula comes out at 0.0690 eV per atom. The value obtained for the total moment is 0.00 Bohr magnetons per cell. The density of states at the Fermi level comes out at 14.01 states/eV per cell.

The structure belongs to space group Cmcm (No. 63); the cell edges are 3.832, 34.411 and 12.732 Å and the angles 90.00°, 90.00° and 90.00°. The inequivalent atoms are K at (0.000, 0.101, 0.085), Na at (0.000, 0.017, 0.622), Na at (0.000, 0.245, 0.250), Na at (0.000, 0.295, 0.521) and Pb at (0.000, 0.332, 0.750).

---

This record from Alexandria via LeMat-Bulk describes Pu3N after structural relaxation. The functional is PBE-GGA.

The uncorrected formation energy comes out at 515 meV per atom. The distance to the lowest polymorph of the same formula comes out at 0.7805 eV per atom. The value obtained for the total moment is 9.11 Bohr magnetons per cell.

The structure belongs to space group Pm-3m (No. 221); the cell edges are 3.971, 3.971 and 3.971 Å and the angles 90.00°, 90.00° and 90.00°. The inequivalent atoms are Pu at (0.000, 0.000, 0.500) and N at (0.500, 0.500, 0.500).

---

This record from Alexandria via LeMat-Bulk describes PbWI3 after structural relaxation. The functional is PBE-GGA.

The uncorrected formation energy comes out at 634 meV per atom. The distance to the lowest polymorph of the same formula comes out at 0.0000 eV per atom. The value obtained for the total moment is 3.98 Bohr magnetons per cell. The density of states at the Fermi level comes out at 5.38 states/eV per cell.

The structure belongs to space group Pm-3m (No. 221); the cell edges are 5.652, 5.652 and 5.652 Å and the angles 90.00°, 90.00° and 90.00°. The inequivalent atoms are Pb at (0.000, 0.000, 0.000), W at (0.500, 0.500, 0.500) and I at (0.000, 0.500, 0.500).